First-principles (GGA+U) data for an optimized crystal structure of Zn2CrF, as listed in Alexandria via LeMat-Bulk.

## Properties
DFT total energy: -3.4320 eV/atom
V: 250 Å³ per cell

```
data_Zn2CrF
_space_group_name_H-M_alt 'I -4 2 d'
_space_group_IT_number 122
_space_group_name_Hall 'I -4 2bw'
_cell_length_a 7.0556
_cell_length_b 7.0556
_cell_length_c 5.0315
_cell_angle_alpha 90.00
_cell_angle_beta 90.00
_cell_angle_gamma 90.00
loop_
_atom_site_label
_atom_site_fract_x
_atom_site_fract_y
_atom_site_fract_z
_atom_site_occupancy
Zn1 0.2072 0.2500 0.1250 1
Cr1 0.0000 0.0000 0.5000 1
F1 0.0000 0.0000 0.0000 1
```